# CdTe2Mo, optimized geometry, DFT GGA-PBE
data_CdTe2Mo
_chemical_formula_sum 'Cd1 Te2 Mo1'
_symmetry_space_group_name_H-M 'P 1'
_symmetry_Int_Tables_number 1
_cell_length_a 5.1195
_cell_length_b 5.1195
_cell_length_c 3.5463
_cell_angle_alpha 90.00
_cell_angle_beta 90.00
_cell_angle_gamma 90.00
loop_
_symmetry_equiv_pos_as_xyz
'x,y,z'
loop_
_atom_site_label
_atom_site_type_symbol
_atom_site_fract_x
_atom_site_fract_y
_atom_site_fract_z
Cd1 Cd 0.0000 0.0000 0.0000
Te1 Te 0.0000 0.5000 0.5000
Te2 Te 0.5000 0.0000 0.5000
Mo1 Mo 0.5000 0.5000 0.0000
# - Space-group type: P4/mmm
# - Crystal system: tetragonal

---

# Er7Ga2Ge2, optimized geometry, DFT GGA-PBE
data_Er7Ga2Ge2
_chemical_formula_sum 'Er7 Ga2 Ge2'
_symmetry_space_group_name_H-M 'P 1'
_symmetry_Int_Tables_number 1
_cell_length_a 6.5630
_cell_length_b 6.5630
_cell_length_c 7.1858
_cell_angle_alpha 90.00
_cell_angle_beta 90.00
_cell_angle_gamma 109.68
loop_
_symmetry_equiv_pos_as_xyz
'x,y,z'
loop_
_atom_site_label
_atom_site_type_symbol
_atom_site_fract_x
_atom_site_fract_y
_atom_site_fract_z
Er1 Er 0.0000 0.0000 0.0000
Er2 Er 0.0000 0.5000 0.2859
Er3 Er 0.0000 0.5000 0.7141
Er4 Er 0.5000 0.0000 0.2859
Er5 Er 0.5000 0.0000 0.7141
Er6 Er 0.5000 0.5000 0.2570
Er7 Er 0.5000 0.5000 0.7430
Ga1 Ga 0.2896 0.7104 0.0000
Ga2 Ga 0.7104 0.2896 0.0000
Ge1 Ge 0.1742 0.1742 0.5000
Ge2 Ge 0.8258 0.8258 0.5000
# - Space-group type: Cmmm
# - Crystal system: orthorhombic

---

In states/eV/cell, the DOS at the Fermi energy values for the records above are, in order, 2.7, 8.4.
In g cm⁻³, the density values for the records above are, in order, 8.282, 8.293.
In eV per atom, the final energy values for the records above are, in order, -3.986, -4.546.